Entry 1:
Compound: Sm2SnB2Rh5
Source: Alexandria via LeMat-Bulk
Functional: GGA-PBE
Structure: relaxed

Cell lengths 3.2988, 9.6884, 9.6884 Å; angles 90.00, 90.00, 90.00 degrees
Positions (direct):
Sm: 0.0000 0.3237 0.8237
Sm: 0.0000 0.8237 0.6763
Rh: 0.5000 0.7731 0.9298
Rh: 0.5000 0.2731 0.5702
Sn: 0.0000 0.0000 0.0000
B: 0.0000 0.3797 0.1203
Rh: 0.5000 0.0702 0.7731
Sm: 0.0000 0.1763 0.3237
Rh: 0.5000 0.5000 0.0000
Sm: 0.0000 0.6763 0.1763
Rh: 0.5000 0.7269 0.4298
B: 0.0000 0.6203 0.8797
Rh: 0.5000 0.5702 0.7269
Rh: 0.5000 0.0000 0.5000
Rh: 0.5000 0.9298 0.2269
B: 0.0000 0.8797 0.3797
Sn: 0.0000 0.5000 0.5000
Rh: 0.5000 0.2269 0.0702
B: 0.0000 0.1203 0.6203
Rh: 0.5000 0.4298 0.2731

Results
Its space group is No. 127. The calculation puts the density of states at the Fermi level at 0.2903 states/eV per atom. Its formation energy is -751 meV per atom. The crystal system is tetragonal.

=====

Entry 2:
Compound: La8Ni3AsI4
Source: Alexandria via LeMat-Bulk
Functional: GGA-PBE
Structure: relaxed

Cell lengths 8.5293, 9.4398, 8.5706 Å; angles 117.05, 119.84, 90.00 degrees
Positions (direct):
La: 0.7296 0.6845 0.4591
La: 0.7207 0.6948 0.9594
Ni: 0.5000 0.5000 0.0000
As: 0.0000 0.5000 0.0000
La: 0.2704 0.3155 0.5409
I: 0.0000 0.0000 0.5000
La: 0.2387 0.6948 0.9594
Ni: 0.5000 0.5000 0.5000
La: 0.2793 0.3052 0.0406
I: 0.0000 0.0000 0.0000
I: 0.5000 0.0000 0.0000
Ni: 0.0000 0.5000 0.5000
La: 0.2370 0.6935 0.4740
La: 0.7613 0.3052 0.0406
La: 0.7630 0.3065 0.5260
I: 0.5000 0.0000 0.5000

Results
Its space group is No. 12. The calculation puts the density of states at the Fermi level at 1.0240 states/eV per atom. For the energy relative to the elements, uncorrected, the calculation gives -863 meV per atom. The crystal system is monoclinic.